# 1
! PBE-GGA EuHoMgPb, optimized geometry; values from VASP
&SYSTEM
  ibrav = 0, nat = 4, ntyp = 4
/
ATOMIC_SPECIES
Pb 207.20 Pb.upf
Eu 151.96 Eu.upf
Mg 24.30 Mg.upf
Ho 164.93 Ho.upf
ATOMIC_POSITIONS crystal
Pb 0.2500 0.2500 0.2500
Eu 0.5000 0.5000 0.5000
Mg 0.7500 0.7500 0.7500
Ho 0.0000 0.0000 0.0000
CELL_PARAMETERS angstrom
5.4769 0.0000 0.0000
2.7385 4.7432 0.0000
2.7385 1.5811 4.4719
! Formation energy ... -290 meV per atom
! Crystal system ... cubic
! Total magnetization ... 1.907 μB/atom
! Density ... 7.84 g/cm³

# 2
! PBE-GGA As2P, optimized geometry; values from VASP
&SYSTEM
  ibrav = 0, nat = 6, ntyp = 2
/
ATOMIC_SPECIES
As 74.92 As.upf
P 30.97 P.upf
ATOMIC_POSITIONS crystal
As 0.0000 0.0000 0.0000
As 0.0000 0.0000 0.5000
As 0.3333 0.6667 0.7500
As 0.6667 0.3333 0.2500
P 0.3333 0.6667 0.2500
P 0.6667 0.3333 0.7500
CELL_PARAMETERS angstrom
0.6990 4.6845 -0.1824
-3.2048 -2.0304 -2.8412
-3.8450 0.7225 3.8207
! Formation energy ... 550 meV per atom
! Crystal system ... hexagonal
! Total magnetization ... 0.000 μB/atom
! E above lowest polymorph ... 0.492 eV per atom
! Density ... 5.64 g/cm³

# 3
! PBE-GGA Ho3Er2Zn2, optimized geometry; values from VASP
&SYSTEM
  ibrav = 0, nat = 7, ntyp = 3
/
ATOMIC_SPECIES
Ho 164.93 Ho.upf
Er 167.26 Er.upf
Zn 65.41 Zn.upf
ATOMIC_POSITIONS crystal
Ho 0.8813 0.0000 0.2374
Ho 0.0000 0.0000 0.0000
Ho 0.1187 0.0000 0.7626
Er 0.7011 0.5000 0.5978
Er 0.2989 0.5000 0.4022
Zn 0.5583 0.5000 0.8835
Zn 0.4417 0.5000 0.1165
CELL_PARAMETERS angstrom
-3.3689 0.5245 0.8499
0.7328 -0.7047 3.3397
1.2177 14.9213 2.8819
! Formation energy ... -116 meV per atom
! Crystal system ... orthorhombic
! Total magnetization ... 0.000 μB/atom
! E above lowest polymorph ... 0.041 eV per atom
! Density ... 8.58 g/cm³